This record from Alexandria describes TbErBeIn after structural relaxation. The functional is GGA-PBE.

## Properties
For the formation energy, the calculation gives -2.71 kcal/mol of atoms. The volume comes out at 376 Å³/cell. Its total DFT energy (no corrections) is -4.032 eV/atom. The density of states at the Fermi level is 14.11 states/eV per cell.

Cell: 7.217 7.217 7.217 Å, 90.00 90.00 90.00°
Space group F-43m (No. 216)
One atom of each set of equivalent atoms:
Tb  0.000  0.000  0.000 x4
Er  0.000  0.000  0.500 x4
Be  0.250  0.250  0.750 x4
In  0.250  0.250  0.250 x4


This record from Alexandria describes YErBeIn after structural relaxation. The functional is GGA-PBE.

## Properties
For the formation energy, the calculation gives -3.08 kcal/mol of atoms. The volume comes out at 374 Å³/cell. Its total DFT energy (no corrections) is -4.507 eV/atom. The density of states at the Fermi level is 14.37 states/eV per cell.

Cell: 7.206 7.206 7.206 Å, 90.00 90.00 90.00°
Space group F-43m (No. 216)
One atom of each set of equivalent atoms:
Y  0.000  0.000  0.000 x4
Er  0.000  0.000  0.500 x4
Be  0.250  0.250  0.750 x4
In  0.250  0.250  0.250 x4


This record from Alexandria describes Er3BeIr2 after structural relaxation. The functional is GGA-PBE.

## Properties
For the formation energy, the calculation gives -17.42 kcal/mol of atoms. The volume comes out at 498 Å³/cell. Its total DFT energy (no corrections) is -6.612 eV/atom. The density of states at the Fermi level is 13.82 states/eV per cell.

Cell: 11.068 3.935 11.433 Å, 90.00 90.00 90.00°
Space group Pnma (No. 62)
One atom of each set of equivalent atoms:
Er  0.058  0.250  0.120 x4
Er  0.123  0.750  0.558 x4
Er  0.202  0.250  0.807 x4
Be  0.127  0.250  0.370 x4
Ir  0.033  0.750  0.318 x4
Ir  0.194  0.750  0.983 x4


This record from Alexandria describes ErBeIr after structural relaxation. The functional is GGA-PBE.

## Properties
For the formation energy, the calculation gives -14.34 kcal/mol of atoms. The volume comes out at 192 Å³/cell. Its total DFT energy (no corrections) is -6.339 eV/atom. The density of states at the Fermi level is 5.30 states/eV per cell.

Cell: 5.029 5.544 6.872 Å, 90.00 90.00 90.00°
Space group Imma (No. 74)
One atom of each set of equivalent atoms:
Er  0.000  0.250  0.125 x4
Be  0.250  0.250  0.750 x4
Ir  0.000  0.000  0.500 x4